Entry 1:
{"formula": "CrRh4Cl", "functional": "PBE", "state": "relaxed", "cell": [[0.000, 3.670, 3.670], [3.670, 0.000, 3.670], [3.670, 3.670, 0.000]], "species": ["Cr", "Rh", "Rh", "Rh", "Rh", "Cl"], "frac_coords": [[0.000, 0.000, 0.000], [0.124, 0.625, 0.625], [0.625, 0.124, 0.625], [0.625, 0.625, 0.124], [0.625, 0.625, 0.625], [0.250, 0.250, 0.250]], "spacegroup": "F-43m (216)", "raw_formation_energy_ev_per_atom": 0.681, "e_tot_ev_per_atom": -6.1317}


Entry 2:
{"formula": "NdSm2I6", "functional": "PBE", "state": "relaxed", "cell": [[8.730, -2.110, 0.000], [8.730, 2.110, 0.000], [-5.199, 0.000, 10.398]], "species": ["Nd", "Sm", "Sm", "I", "I", "I", "I", "I", "I"], "frac_coords": [[0.000, 0.000, 0.000], [0.349, 0.349, 0.692], [0.651, 0.651, 0.308], [0.014, 0.014, 0.287], [0.303, 0.303, 0.389], [0.351, 0.351, 0.958], [0.649, 0.649, 0.042], [0.697, 0.697, 0.611], [0.986, 0.986, 0.713]], "spacegroup": "C2/m (12)", "raw_formation_energy_ev_per_atom": -1.283, "e_tot_ev_per_atom": -3.8949, "relative_energy_mev_per_atom": 0}


Entry 3:
{"formula": "AgSb2Te", "functional": "PBE", "state": "relaxed", "cell": [[-2.207, 2.207, 5.430], [2.207, -2.207, 5.430], [2.207, 2.207, -5.430]], "species": ["Ag", "Sb", "Sb", "Te"], "frac_coords": [[0.000, 0.000, 0.000], [0.250, 0.750, 0.500], [0.750, 0.250, 0.500], [0.500, 0.500, 0.000]], "spacegroup": "I4/mmm (139)", "raw_formation_energy_ev_per_atom": 0.270, "e_tot_ev_per_atom": -3.2897}